Entry 1:
MgNiSbAu2 | GGA-PBEsol | optimized geometry

Computed properties:
As for the total energy: -14.94 eV per cell. The value obtained for the uncorrected formation energy is 1.0673 eV per atom.

Cell: 4.7257 4.7257 5.1293 Å, 90.00 90.00 90.00°
With the nearest neighbours (Å) after each atom.
Positions (direct):
Mg 0.0000 0.0000 0.0000  4 Au 2.36, 2 Sb 2.56
Ni 0.5000 0.5000 0.5000  4 Sb 3.34, 8 Au 3.49
Sb 0.0000 0.0000 0.5000  2 Mg 2.56
Au 0.0000 0.5000 0.0000  2 Mg 2.36
Au 0.5000 0.0000 0.0000  2 Mg 2.36

Entry 2:
Sc2MnAlGa | GGA-PBEsol | optimized geometry

Computed properties:
As for the total energy: -27.77 eV per cell. The formation energy from the elements is 0.5267 eV per atom.

Cell: 5.0085 5.0085 4.5470 Å, 90.00 90.00 90.00°
With the nearest neighbours (Å) after each atom.
Positions (direct):
Sc 0.0000 0.5000 0.0000  2 Ga 2.50
Sc 0.5000 0.0000 0.0000  2 Ga 2.50
Mn 0.0000 0.0000 0.5000  8 Sc 3.38, 4 Al 3.54
Al 0.5000 0.5000 0.5000  2 Ga 2.27
Ga 0.5000 0.5000 0.0000  2 Al 2.27, 4 Sc 2.50

Entry 3:
SrNiSe2 | GGA-PBEsol | optimized geometry

Computed properties:
For the energy above the lowest structure with this stoichiometry, the calculation gives 392 meV per atom. As for the total energy: -17.55 eV per cell. The value obtained for the uncorrected formation energy is -0.4621 eV per atom.

Cell: 4.8917 4.8917 4.8917 Å, 60.00 60.00 60.00°
With the nearest neighbours (Å) after each atom.
Positions (direct):
Sr 0.0000 0.0000 0.0000  8 Se 3.00
Ni 0.5000 0.5000 0.5000  8 Se 3.00
Se 0.2500 0.2500 0.2500  4 Ni 3.00, 4 Sr 3.00
Se 0.7500 0.7500 0.7500  4 Ni 3.00, 4 Sr 3.00

Among the records above, which one has the highest total energy? MgNiSbAu2

total energy of number 1 (MgNiSbAu2)? -14.94 eV per cell

What is the formula in the second record? Sc2MnAlGa

Which value of total energy does entry 1 give? -14.94 eV per cell